Record 1
La5Pr4Pb: optimized geometry, PBE-GGA.

Summary:
- Electronic total energy: -4.6999 eV/atom

a b c (Å): 11.262 11.427 5.815
angles (deg): 90.00 90.00 90.00
Sites, in units of the cell vectors:
La 0.046 0.055 0.246
La 0.046 0.445 0.246
La 0.250 0.750 0.783
La 0.454 0.055 0.246
La 0.454 0.445 0.246
La 0.546 0.555 0.754
La 0.546 0.945 0.754
La 0.750 0.250 0.217
La 0.954 0.555 0.754
La 0.954 0.945 0.754
Pr 0.022 0.750 0.288
Pr 0.250 0.077 0.794
Pr 0.250 0.423 0.794
Pr 0.478 0.750 0.288
Pr 0.522 0.250 0.712
Pr 0.750 0.577 0.206
Pr 0.750 0.923 0.206
Pr 0.978 0.250 0.712
Pb 0.250 0.250 0.332
Pb 0.750 0.750 0.668

Record 2
La2PrPb2: optimized geometry, PBE-GGA.

Summary:
- Electronic total energy: -4.9634 eV/atom
- Polymorph energy (0 for the lowest one): 0.000 eV per atom

a b c (Å): 8.595 8.595 4.632
angles (deg): 90.00 90.00 90.00
Sites, in units of the cell vectors:
La 0.167 0.333 0.000
La 0.333 0.833 0.000
La 0.667 0.167 0.000
La 0.833 0.667 0.000
Pr 0.000 0.000 0.500
Pr 0.500 0.500 0.500
Pb 0.135 0.635 0.500
Pb 0.365 0.135 0.500
Pb 0.635 0.865 0.500
Pb 0.865 0.365 0.500

Record 3
La6Pr5Pb: optimized geometry, PBE-GGA.

Summary:
- Electronic total energy: -4.8519 eV/atom

a b c (Å): 9.834 9.834 9.834
angles (deg): 149.87 115.68 72.64
Sites, in units of the cell vectors:
La 0.080 0.838 0.242
La 0.243 0.500 0.743
La 0.405 0.162 0.242
La 0.595 0.838 0.758
La 0.757 0.500 0.257
La 0.920 0.162 0.758
Pr 0.166 0.666 0.500
Pr 0.335 0.335 0.000
Pr 0.500 0.000 0.500
Pr 0.665 0.665 0.000
Pr 0.834 0.334 0.500
Pb 0.000 0.000 0.000

Record 4
LaPr4Pb: optimized geometry, PBE-GGA.

Summary:
- Electronic total energy: -4.3221 eV/atom

a b c (Å): 9.105 9.105 9.105
angles (deg): 98.54 98.54 134.67
Sites, in units of the cell vectors:
La 0.000 0.000 0.000
La 0.750 0.250 0.500
Pr 0.291 0.551 0.740
Pr 0.301 0.061 0.760
Pr 0.301 0.541 0.240
Pr 0.311 0.041 0.270
Pr 0.772 0.041 0.730
Pr 0.791 0.022 0.230
Pr 0.791 0.561 0.770
Pr 0.811 0.551 0.260
Pb 0.258 0.758 0.500
Pb 0.508 0.508 0.000

Record 5
La2PrPb9: optimized geometry, PBE-GGA.

Summary:
- Electronic total energy: -4.4282 eV/atom

a b c (Å): 4.957 4.957 14.862
angles (deg): 90.00 90.00 90.00
Sites, in units of the cell vectors:
La 0.000 0.000 0.167
La 0.000 0.000 0.833
Pr 0.000 0.000 0.500
Pb 0.000 0.500 0.000
Pb 0.000 0.500 0.334
Pb 0.000 0.500 0.666
Pb 0.500 0.000 0.000
Pb 0.500 0.000 0.334
Pb 0.500 0.000 0.666
Pb 0.500 0.500 0.167
Pb 0.500 0.500 0.500
Pb 0.500 0.500 0.833

Record 6
La2Pr2Pb: optimized geometry, PBE-GGA.

Summary:
- Electronic total energy: -4.8189 eV/atom

a b c (Å): 5.741 5.741 6.986
angles (deg): 113.92 113.92 60.24
Sites, in units of the cell vectors:
La 0.103 0.103 0.310
La 0.897 0.897 0.690
Pr 0.323 0.323 0.969
Pr 0.677 0.677 0.031
Pb 0.500 0.500 0.500

no.,N(E_F) (states/eV per cell),mass density (g cm⁻³),M_tot (μB/f.u.)
1,27.53,6.50,0.00
2,14.07,8.09,0.00
3,16.92,6.83,0.00
4,22.27,6.10,0.31
5,5.83,10.38,0.00
6,6.23,7.21,0.00